Record 1
Here is crystalline Be2AlAu5 at its relaxed geometry from the Alexandria database. Energies are from PBE.

```
data_Be2AlAu5
_chemical_formula_sum 'Be4 Al2 Au10'
_symmetry_space_group_name_H-M 'P 1'
_symmetry_Int_Tables_number 1
_cell_length_a 7.123
_cell_length_b 7.123
_cell_length_c 7.123
_cell_angle_alpha 122.82
_cell_angle_beta 122.82
_cell_angle_gamma 85.18
loop_
_symmetry_equiv_pos_as_xyz
'x,y,z'
loop_
_atom_site_label
_atom_site_fract_x
_atom_site_fract_y
_atom_site_fract_z
Be1 0.138 0.638 0.776
Be2 0.362 0.138 0.500
Be3 0.638 0.862 0.500
Be4 0.862 0.362 0.224
Al1 0.250 0.250 0.000
Al2 0.750 0.750 0.000
Au1 0.000 0.000 0.000
Au2 0.008 0.199 0.500
Au3 0.199 0.699 0.191
Au4 0.301 0.492 0.500
Au5 0.492 0.992 0.191
Au6 0.500 0.500 0.000
Au7 0.508 0.008 0.809
Au8 0.699 0.508 0.500
Au9 0.801 0.301 0.809
Au10 0.992 0.801 0.500
```

space group	I4/mcm, No. 140
calculated total energy	-3.62	eV per atom

Record 2
Here is crystalline PPbSe at its relaxed geometry from the Alexandria database. Energies are from PBE.

```
data_PPbSe
_chemical_formula_sum 'P1 Pb1 Se1'
_symmetry_space_group_name_H-M 'P 1'
_symmetry_Int_Tables_number 1
_cell_length_a 5.967
_cell_length_b 5.967
_cell_length_c 5.967
_cell_angle_alpha 141.64
_cell_angle_beta 137.87
_cell_angle_gamma 58.28
loop_
_symmetry_equiv_pos_as_xyz
'x,y,z'
loop_
_atom_site_label
_atom_site_fract_x
_atom_site_fract_y
_atom_site_fract_z
P1 0.000 0.000 0.000
Pb1 0.578 0.578 0.000
Se1 0.217 0.217 0.000
```

space group	Imm2, No. 44
offset from the most stable computed form	0	meV/atom
E_form (uncorrected)	34	kJ/mol of formula units

Record 3
Here is crystalline Ag5Se4N2 at its relaxed geometry from the Alexandria database. Energies are from PBE.

```
data_Ag5Se4N2
_chemical_formula_sum 'Ag5 Se4 N2'
_symmetry_space_group_name_H-M 'P 1'
_symmetry_Int_Tables_number 1
_cell_length_a 5.880
_cell_length_b 7.073
_cell_length_c 7.471
_cell_angle_alpha 106.59
_cell_angle_beta 111.45
_cell_angle_gamma 103.96
loop_
_symmetry_equiv_pos_as_xyz
'x,y,z'
loop_
_atom_site_label
_atom_site_fract_x
_atom_site_fract_y
_atom_site_fract_z
Ag1 0.000 0.000 0.000
Ag2 0.265 0.678 0.386
Ag3 0.408 0.722 0.848
Ag4 0.592 0.278 0.152
Ag5 0.735 0.322 0.614
Se1 0.250 0.344 0.509
Se2 0.393 0.927 0.193
Se3 0.607 0.073 0.807
Se4 0.750 0.656 0.491
N1 0.152 0.380 0.711
N2 0.848 0.620 0.289
```

space group	P-1, No. 2
E_form (uncorrected)	488	kJ/mol of formula units

Record 4
Here is crystalline Sm3TmGe2 at its relaxed geometry from the Alexandria database. Energies are from PBE.

```
data_Sm3TmGe2
_chemical_formula_sum 'Sm3 Tm1 Ge2'
_symmetry_space_group_name_H-M 'P 1'
_symmetry_Int_Tables_number 1
_cell_length_a 8.705
_cell_length_b 8.705
_cell_length_c 4.405
_cell_angle_alpha 104.60
_cell_angle_beta 104.60
_cell_angle_gamma 29.93
loop_
_symmetry_equiv_pos_as_xyz
'x,y,z'
loop_
_atom_site_label
_atom_site_fract_x
_atom_site_fract_y
_atom_site_fract_z
Sm1 0.000 0.000 0.000
Sm2 0.180 0.180 0.680
Sm3 0.820 0.820 0.320
Tm1 0.500 0.500 0.500
Ge1 0.367 0.367 0.867
Ge2 0.633 0.633 0.133
```

space group	C2/m, No. 12
calculated total energy	-5.27	eV per atom

Record 5
Here is crystalline SrLiSn2Pt2 at its relaxed geometry from the Alexandria database. Energies are from PBE.

```
data_SrLiSn2Pt2
_chemical_formula_sum 'Sr1 Li1 Sn2 Pt2'
_symmetry_space_group_name_H-M 'P 1'
_symmetry_Int_Tables_number 1
_cell_length_a 4.641
_cell_length_b 4.641
_cell_length_c 7.258
_cell_angle_alpha 90.00
_cell_angle_beta 90.00
_cell_angle_gamma 120.00
loop_
_symmetry_equiv_pos_as_xyz
'x,y,z'
loop_
_atom_site_label
_atom_site_fract_x
_atom_site_fract_y
_atom_site_fract_z
Sr1 0.000 0.000 0.000
Li1 0.000 0.000 0.500
Sn1 0.333 0.667 0.316
Sn2 0.667 0.333 0.684
Pt1 0.333 0.667 0.696
Pt2 0.667 0.333 0.304
```

space group	P-3m1, No. 164
calculated total energy	-4.72	eV per atom

Record 6
Here is crystalline ZrAlTc at its relaxed geometry from the Alexandria database. Energies are from PBE.

```
data_ZrAlTc
_chemical_formula_sum 'Zr2 Al2 Tc2'
_symmetry_space_group_name_H-M 'P 1'
_symmetry_Int_Tables_number 1
_cell_length_a 5.252
_cell_length_b 5.252
_cell_length_c 5.252
_cell_angle_alpha 120.13
_cell_angle_beta 118.57
_cell_angle_gamma 91.14
loop_
_symmetry_equiv_pos_as_xyz
'x,y,z'
loop_
_atom_site_label
_atom_site_fract_x
_atom_site_fract_y
_atom_site_fract_z
Zr1 0.368 0.118 0.250
Zr2 0.632 0.882 0.750
Al1 0.000 0.500 0.500
Al2 0.500 0.500 0.000
Tc1 0.000 0.000 0.500
Tc2 0.000 0.500 0.000
```

space group	Imma, No. 74
offset from the most stable computed form	0	meV/atom

no.,Fermi-level density of states (states/eV/cell),M_tot (μB per formula unit)
1,2.53,0.00
2,1.63,0.00
3,3.97,0.00
4,6.38,0.00
5,2.84,0.00
6,4.94,0.00